1.
First-principles (PBE-GGA) data for a geometry-optimized Pm2Nd3YS6 structure, as listed in Alexandria. Values from VASP.

Cell and atoms, written as Quantum ESPRESSO input:
```
&SYSTEM
  ibrav = 0, nat = 12, ntyp = 4
/
ATOMIC_SPECIES
Pm 145.00 Pm.upf
Nd 144.24 Nd.upf
Y 88.91 Y.upf
S 32.06 S.upf
CELL_PARAMETERS angstrom
3.4848 -6.0543 0.0000
3.4848 6.0543 0.0000
-2.3282 0.0000 6.5908
ATOMIC_POSITIONS angstrom
Pm 3.4848 4.0340 0.0000
Pm 3.4848 -4.0340 0.0000
Nd -1.1641 0.0000 3.2954
Nd 2.3206 2.0538 3.2954
Nd 2.3206 -2.0538 3.2954
Y 3.4848 0.0000 0.0000
S 0.0198 1.9789 4.9946
S 1.2064 0.0000 1.6133
S 0.0198 -1.9789 4.9946
S 4.6215 1.9789 1.5961
S 3.4349 0.0000 4.9775
S 4.6215 -1.9789 1.5961
```

## Properties
Energy relative to the elements, uncorrected: -196 kJ/mol of atoms



2.
First-principles (PBE-GGA) data for a geometry-optimized Ac3Pm3TmSe8 structure, as listed in Alexandria. Values from VASP.

Cell and atoms, written as Quantum ESPRESSO input:
```
&SYSTEM
  ibrav = 0, nat = 15, ntyp = 4
/
ATOMIC_SPECIES
Ac 227.00 Ac.upf
Pm 145.00 Pm.upf
Tm 168.93 Tm.upf
Se 78.96 Se.upf
CELL_PARAMETERS angstrom
4.2576 2.4581 7.1695
-4.2576 2.4581 7.1695
0.0000 -4.9162 7.1695
ATOMIC_POSITIONS angstrom
Ac -2.1288 -1.2291 7.1695
Ac -2.1288 1.2290 14.3390
Ac 0.0000 2.4581 7.1695
Pm -4.2576 0.0000 10.7542
Pm -2.1288 1.2290 3.5847
Pm 2.1288 1.2291 3.5847
Tm 0.0000 0.0000 10.7542
Se 0.0000 0.0000 5.2524
Se -2.0772 -1.1993 12.3871
Se 0.0000 -2.3985 9.1214
Se -2.0772 1.1992 9.1214
Se 2.0772 -1.1993 12.3871
Se 0.0000 2.3985 12.3871
Se 2.0772 1.1993 9.1214
Se 0.0000 0.0000 16.2561
```

## Properties
Energy relative to the elements, uncorrected: -181 kJ/mol of atoms



3.
First-principles (PBE-GGA) data for a geometry-optimized HfTcNi2Mo structure, as listed in Alexandria. Values from VASP.

Cell and atoms, written as Quantum ESPRESSO input:
```
&SYSTEM
  ibrav = 0, nat = 5, ntyp = 4
/
ATOMIC_SPECIES
Hf 178.49 Hf.upf
Tc 98.00 Tc.upf
Ni 58.69 Ni.upf
Mo 95.94 Mo.upf
CELL_PARAMETERS angstrom
4.4663 0.0000 0.0000
0.0000 4.4663 0.0000
0.0000 0.0000 4.6090
ATOMIC_POSITIONS angstrom
Hf 0.0000 0.0000 0.0000
Tc 2.2331 2.2331 2.3045
Ni 0.0000 2.2331 2.3045
Ni 2.2331 0.0000 2.3045
Mo 2.2331 2.2331 0.0000
```

## Properties
Calculated formation energy: 23.01 kcal/mol of atoms



4.
First-principles (PBE-GGA) data for a geometry-optimized Ba4BeHg structure, as listed in Alexandria. Values from VASP.

Cell and atoms, written as Quantum ESPRESSO input:
```
&SYSTEM
  ibrav = 0, nat = 6, ntyp = 3
/
ATOMIC_SPECIES
Ba 137.33 Ba.upf
Be 9.01 Be.upf
Hg 200.59 Hg.upf
CELL_PARAMETERS angstrom
0.0000 5.1566 5.1566
5.1566 0.0000 5.1566
5.1566 5.1566 0.0000
ATOMIC_POSITIONS angstrom
Ba 1.2876 1.2876 1.2876
Ba 3.8689 3.8689 1.2876
Ba 3.8689 1.2876 3.8689
Ba 1.2876 3.8689 3.8689
Be 7.7349 7.7349 7.7349
Hg 5.1566 5.1566 5.1566
```

## Properties
Calculated formation energy: 16.83 kcal/mol of atoms